# 1
## PuPaTcIr (PBE)

Data for a geometry-optimized PuPaTcIr structure.

## Properties
* M_tot: 4.8 μB/cell
* formation energy: -0.309 eV/atom

Cell and atoms, written as extended XYZ:
```
4
Lattice="0.000 3.427 3.427 3.427 0.000 3.427 3.427 3.427 0.000" Properties=species:S:1:pos:R:3 pbc="T T T"
Pu 0.000 0.000 0.000
Pa 3.427 3.427 3.427
Tc 5.140 5.140 5.140
Ir 1.713 1.713 1.713
```

# 2
## PuPaTeIr (PBE)

Data for a geometry-optimized PuPaTeIr structure.

## Properties
* raw formation energy: -0.76 eV/atom
* M_tot: 6.0 μB/cell

Cell and atoms, written as extended XYZ:
```
4
Lattice="2.039 1.177 7.533 -2.039 1.177 7.533 0.000 -2.355 7.533" Properties=species:S:1:pos:R:3 pbc="T T T"
Pu 0.000 0.000 0.000
Pa 0.000 0.000 18.140
Te 0.000 0.000 5.255
Ir 0.000 0.000 9.192
```

# 3
## PuThPa2Ir4 (PBE)

Data for a geometry-optimized PuThPa2Ir4 structure.

## Properties
* M_tot: 4.7 μB/cell
* formation energy: -0.762 eV/atom

Cell and atoms, written as extended XYZ:
```
8
Lattice="-2.848 2.848 5.685 2.848 -2.848 5.685 2.848 2.848 -5.685" Properties=species:S:1:pos:R:3 pbc="T T T"
Pu 0.000 0.000 0.000
Th 0.000 0.000 5.685
Pa 2.848 0.000 2.843
Pa 0.000 2.848 2.843
Ir 2.848 0.000 0.000
Ir 0.000 0.000 2.783
Ir 0.000 2.848 0.000
Ir 0.000 0.000 8.587
```

# 4
## PuUPaIr (PBE)

Data for a geometry-optimized PuUPaIr structure.

## Properties
* M_tot: 3.3 μB/cell
* formation energy: -0.192 eV/atom

Cell and atoms, written as extended XYZ:
```
4
Lattice="0.000 3.428 3.428 3.428 0.000 3.428 3.428 3.428 0.000" Properties=species:S:1:pos:R:3 pbc="T T T"
Pu 0.000 0.000 0.000
U 1.714 1.714 1.714
Pa 3.428 3.428 3.428
Ir 5.142 5.142 5.142
```